[1]
This record from the Alexandria database describes a geometry-optimized Pr6Pt2I3Br structure. The functional is PBE-GGA.

Properties
crystal system	monoclinic
DFT total energy	-5.02	eV/atom

Cell and atoms, written as CIF:
```
data_Pr6Pt2I3Br
_chemical_formula_sum 'Pr6 Pt2 I3 Br1'
_space_group_name_H-M_alt 'P 1'
_space_group_IT_number 1
_cell_length_a 7.6870
_cell_length_b 7.6870
_cell_length_c 8.2502
_cell_angle_alpha 98.92
_cell_angle_beta 98.92
_cell_angle_gamma 119.84
loop_
_space_group_symop_operation_xyz
'x,y,z'
loop_
_atom_site_label
_atom_site_type_symbol
_atom_site_fract_x
_atom_site_fract_y
_atom_site_fract_z
Pr1 Pr 0.0670 0.4340 0.8048
Pr2 Pr 0.1978 0.1978 0.1922
Pr3 Pr 0.4340 0.0670 0.8048
Pr4 Pr 0.5660 0.9330 0.1952
Pr5 Pr 0.8022 0.8022 0.8078
Pr6 Pr 0.9330 0.5660 0.1952
Pt1 Pt 0.1674 0.8326 0.0000
Pt2 Pt 0.8326 0.1674 0.0000
I1 I 0.0000 0.0000 0.5000
I2 I 0.3417 0.6583 0.5000
I3 I 0.6583 0.3417 0.5000
Br1 Br 0.5000 0.5000 0.0000
```


[2]
This record from the Alexandria database describes a geometry-optimized Pr8Rh3I4Br structure. The functional is PBE-GGA.

Properties
crystal system	trigonal
DFT total energy	-5.18	eV/atom

Cell and atoms, written as CIF:
```
data_Pr8Rh3I4Br
_chemical_formula_sum 'Pr8 Rh3 I4 Br1'
_space_group_name_H-M_alt 'P 1'
_space_group_IT_number 1
_cell_length_a 9.5025
_cell_length_b 9.5025
_cell_length_c 9.5025
_cell_angle_alpha 53.84
_cell_angle_beta 53.84
_cell_angle_gamma 53.84
loop_
_space_group_symop_operation_xyz
'x,y,z'
loop_
_atom_site_label
_atom_site_type_symbol
_atom_site_fract_x
_atom_site_fract_y
_atom_site_fract_z
Pr1 Pr 0.2029 0.7450 0.7450
Pr2 Pr 0.2281 0.2281 0.2281
Pr3 Pr 0.2550 0.2550 0.7971
Pr4 Pr 0.2550 0.7971 0.2550
Pr5 Pr 0.7450 0.2029 0.7450
Pr6 Pr 0.7450 0.7450 0.2029
Pr7 Pr 0.7719 0.7719 0.7719
Pr8 Pr 0.7971 0.2550 0.2550
Rh1 Rh 0.0000 0.0000 0.5000
Rh2 Rh 0.0000 0.5000 0.0000
Rh3 Rh 0.5000 0.0000 0.0000
I1 I 0.0000 0.0000 0.0000
I2 I 0.0000 0.5000 0.5000
I3 I 0.5000 0.0000 0.5000
I4 I 0.5000 0.5000 0.0000
Br1 Br 0.5000 0.5000 0.5000
```


[3]
This record from the Alexandria database describes a geometry-optimized Pr3RhIBr structure. The functional is PBE-GGA.

Properties
crystal system	monoclinic
DFT total energy	-5.11	eV/atom

Cell and atoms, written as CIF:
```
data_Pr3RhIBr
_chemical_formula_sum 'Pr6 Rh2 I2 Br2'
_space_group_name_H-M_alt 'P 1'
_space_group_IT_number 1
_cell_length_a 9.9147
_cell_length_b 4.1336
_cell_length_c 10.2017
_cell_angle_alpha 90.00
_cell_angle_beta 91.75
_cell_angle_gamma 90.00
loop_
_space_group_symop_operation_xyz
'x,y,z'
loop_
_atom_site_label
_atom_site_type_symbol
_atom_site_fract_x
_atom_site_fract_y
_atom_site_fract_z
Pr1 Pr 0.0815 0.2500 0.3561
Pr2 Pr 0.1368 0.2500 0.9153
Pr3 Pr 0.3187 0.7500 0.6391
Pr4 Pr 0.6813 0.2500 0.3609
Pr5 Pr 0.8632 0.7500 0.0847
Pr6 Pr 0.9185 0.7500 0.6439
Rh1 Rh 0.1218 0.2500 0.6412
Rh2 Rh 0.8782 0.7500 0.3588
I1 I 0.3932 0.7500 0.3301
I2 I 0.6068 0.2500 0.6699
Br1 Br 0.3622 0.7500 0.9335
Br2 Br 0.6378 0.2500 0.0665
```


[4]
This record from the Alexandria database describes a geometry-optimized Pr6Rh2I3Br structure. The functional is PBE-GGA.

Properties
crystal system	monoclinic
DFT total energy	-5.10	eV/atom

Cell and atoms, written as CIF:
```
data_Pr6Rh2I3Br
_chemical_formula_sum 'Pr6 Rh2 I3 Br1'
_space_group_name_H-M_alt 'P 1'
_space_group_IT_number 1
_cell_length_a 7.5356
_cell_length_b 7.5356
_cell_length_c 8.3970
_cell_angle_alpha 98.61
_cell_angle_beta 98.61
_cell_angle_gamma 119.83
loop_
_space_group_symop_operation_xyz
'x,y,z'
loop_
_atom_site_label
_atom_site_type_symbol
_atom_site_fract_x
_atom_site_fract_y
_atom_site_fract_z
Pr1 Pr 0.0665 0.4352 0.8070
Pr2 Pr 0.1957 0.1957 0.1908
Pr3 Pr 0.4352 0.0665 0.8070
Pr4 Pr 0.5648 0.9335 0.1930
Pr5 Pr 0.8043 0.8043 0.8092
Pr6 Pr 0.9335 0.5648 0.1930
Rh1 Rh 0.1672 0.8328 0.0000
Rh2 Rh 0.8328 0.1672 0.0000
I1 I 0.0000 0.0000 0.5000
I2 I 0.3407 0.6593 0.5000
I3 I 0.6593 0.3407 0.5000
Br1 Br 0.5000 0.5000 0.0000
```